First-principles (PBE-GGA) data for CaLuTlZn after structural relaxation, as listed in the Alexandria database.

Properties
The value obtained for the density of states at the Fermi level is 2.05 states/eV/f.u. As for the theoretical density: 7.982 g cm⁻³. The calculation puts the formation energy at -0.3067 eV per atom.

Cell and atoms, written as CIF:
```
data_CaLuTlZn
_space_group_name_H-M_alt 'F -4 3 m'
_space_group_IT_number 216
_space_group_name_Hall 'F -4 2 3'
_cell_length_a 7.3891
_cell_length_b 7.3891
_cell_length_c 7.3891
_cell_angle_alpha 90.00
_cell_angle_beta 90.00
_cell_angle_gamma 90.00
loop_
_atom_site_label
_atom_site_type_symbol
_atom_site_fract_x
_atom_site_fract_y
_atom_site_fract_z
Ca1 Ca 0.0000 0.0000 0.0000
Lu1 Lu 0.0000 0.0000 0.5000
Tl1 Tl 0.2500 0.2500 0.2500
Zn1 Zn 0.2500 0.2500 0.7500
```

First-principles (PBE-GGA) data for PmNd2PuSb4 after structural relaxation, as listed in the Alexandria database.

Properties
The value obtained for the density of states at the Fermi level is 17.05 states/eV/f.u. The raw formation energy comes out at -1.032 eV per atom. As for the theoretical density: 7.540 g cm⁻³.

Cell and atoms, written as CIF:
```
data_PmNd2PuSb4
_space_group_name_H-M_alt 'P 1 2/m 1'
_space_group_IT_number 10
_cell_length_a 7.7762
_cell_length_b 4.4983
_cell_length_c 7.7764
_cell_angle_alpha 90.00
_cell_angle_beta 109.46
_cell_angle_gamma 90.00
loop_
_space_group_symop_operation_xyz
'x,y,z'
'-x,-y,-z'
'-x,y,-z'
'x,-y,z'
loop_
_atom_site_label
_atom_site_type_symbol
_atom_site_fract_x
_atom_site_fract_y
_atom_site_fract_z
Pm1 Pm 0.0000 0.0000 0.0000
Nd1 Nd 0.5000 0.0000 0.5000
Nd2 Nd 0.5000 0.5000 0.0000
Pu1 Pu 0.0000 0.5000 0.5000
Sb1 Sb 0.2439 0.0000 0.7452
Sb2 Sb 0.2459 0.5000 0.2514
```